A plane-wave DFT calculation with GGA-PBE was carried out for a geometry-optimized Lu4HgPbC2 structure. Values from VASP.

## Properties
Final energy = -5.564 eV/atom
Symmetry = P-6m2 (187)

The structure in Quantum ESPRESSO input format:
```
&SYSTEM
  ibrav = 0, nat = 8, ntyp = 4
/
ATOMIC_SPECIES
Lu 174.97 Lu.upf
Hg 200.59 Hg.upf
Pb 207.20 Pb.upf
C 12.01 C.upf
CELL_PARAMETERS angstrom
3.5347 0.0000 0.0000
-1.7674 3.0612 0.0000
0.0000 0.0000 15.5357
ATOMIC_POSITIONS crystal
Lu 0.0000 0.0000 0.1614
Lu 0.0000 0.0000 0.8386
Lu 0.3333 0.6667 0.3283
Lu 0.3333 0.6667 0.6717
Hg 0.3333 0.6667 0.0000
Pb 0.0000 0.0000 0.5000
C 0.6667 0.3333 0.2469
C 0.6667 0.3333 0.7531
```